Entry 1:
# PBE-GGA ReSi2Cl, relaxed
# Uncorrected formation energy: 0.747 eV per atom
# E above lowest polymorph: 0.633 eV per atom
data_ReSi2Cl
_chemical_formula_sum 'Re1 Si2 Cl1'
_cell_length_a 4.660
_cell_length_b 4.660
_cell_length_c 4.660
_cell_angle_alpha 129.45
_cell_angle_beta 129.45
_cell_angle_gamma 74.29
_symmetry_space_group_name_H-M 'P 1'
_symmetry_Int_Tables_number 1
_symmetry_space_group_name_Hall 'P 1'
loop_
_atom_site_label
_atom_site_fract_x
_atom_site_fract_y
_atom_site_fract_z
Re1 0.000 0.000 0.000
Si1 0.250 0.750 0.500
Si2 0.750 0.250 0.500
Cl1 0.500 0.500 0.000

Entry 2:
# PBE-GGA ReSiCl4, relaxed
# Uncorrected formation energy: 1.542 eV per atom
data_ReSiCl4
_chemical_formula_sum 'Re1 Si1 Cl4'
_cell_length_a 5.786
_cell_length_b 5.786
_cell_length_c 5.786
_cell_angle_alpha 60.00
_cell_angle_beta 60.00
_cell_angle_gamma 60.00
_symmetry_space_group_name_H-M 'P 1'
_symmetry_Int_Tables_number 1
_symmetry_space_group_name_Hall 'P 1'
loop_
_atom_site_label
_atom_site_fract_x
_atom_site_fract_y
_atom_site_fract_z
Re1 0.000 0.000 0.000
Si1 0.750 0.750 0.750
Cl1 0.374 0.374 0.374
Cl2 0.374 0.374 0.877
Cl3 0.374 0.877 0.374
Cl4 0.877 0.374 0.374

Entry 3:
# PBE-GGA ReSiCl2, relaxed
# Uncorrected formation energy: -0.050 eV per atom
# E above lowest polymorph: 0.135 eV per atom
data_ReSiCl2
_chemical_formula_sum 'Re1 Si1 Cl2'
_cell_length_a 9.188
_cell_length_b 9.188
_cell_length_c 9.188
_cell_angle_alpha 19.79
_cell_angle_beta 19.79
_cell_angle_gamma 19.79
_symmetry_space_group_name_H-M 'P 1'
_symmetry_Int_Tables_number 1
_symmetry_space_group_name_Hall 'P 1'
loop_
_atom_site_label
_atom_site_fract_x
_atom_site_fract_y
_atom_site_fract_z
Re1 0.000 0.000 0.000
Si1 0.726 0.726 0.726
Cl1 0.266 0.266 0.266
Cl2 0.458 0.458 0.458

Entry 4:
# PBE-GGA ReSi2Cl, relaxed
# Uncorrected formation energy: 0.664 eV per atom
# E above lowest polymorph: 0.551 eV per atom
data_ReSi2Cl
_chemical_formula_sum 'Re1 Si2 Cl1'
_cell_length_a 4.574
_cell_length_b 4.574
_cell_length_c 2.944
_cell_angle_alpha 90.00
_cell_angle_beta 90.00
_cell_angle_gamma 107.23
_symmetry_space_group_name_H-M 'P 1'
_symmetry_Int_Tables_number 1
_symmetry_space_group_name_Hall 'P 1'
loop_
_atom_site_label
_atom_site_fract_x
_atom_site_fract_y
_atom_site_fract_z
Re1 0.000 0.000 0.000
Si1 0.000 0.500 0.500
Si2 0.500 0.000 0.500
Cl1 0.500 0.500 0.000

Which total moment belongs to each record? In order, 0.0, 3.5, 0.0, 0.0 μB per formula unit.
Which volume belongs to each record? In order, 14.71, 22.83, 19.44, 14.71 A^3/atom.
Which energy belongs to each record? In order, -5.54, -2.67, -5.44, -5.62 eV/atom.